(1)
Here is a PBEsol-optimized structure of TaGeB2 from Alexandria via LeMat-Bulk. Energies are from SCAN.

Output
density	9.5	Mg/m³
raw total energy	-393.4	eV per cell

Structure (CIF):
```
data_TaGeB2
_chemical_formula_sum 'Ta4 Ge4 B8'
_space_group_name_H-M_alt 'I -4 2 d'
_space_group_IT_number 122
_space_group_name_Hall 'I -4 2bw'
_cell_length_a 5.7532
_cell_length_b 5.7532
_cell_length_c 5.8173
_cell_angle_alpha 90.00
_cell_angle_beta 90.00
_cell_angle_gamma 90.00
loop_
_atom_site_label
_atom_site_type_symbol
_atom_site_fract_x
_atom_site_fract_y
_atom_site_fract_z
Ta1 Ta 0.0000 0.0000 0.0000
Ge1 Ge 0.0000 0.0000 0.5000
B1 B 0.2158 0.7500 0.6250
```

(2)
Here is a PBEsol-optimized structure of GeBTe3 from Alexandria via LeMat-Bulk. Energies are from SCAN.

Output
density	6.9	Mg/m³
raw total energy	-134.3	eV per cell
formation energy without anion corrections	0.7879	eV per atom

Structure (CIF):
```
data_GeBTe3
_chemical_formula_sum 'Ge1 B1 Te3'
_space_group_name_H-M_alt 'P m -3 m'
_space_group_IT_number 221
_space_group_name_Hall '-P 4 2 3'
_cell_length_a 4.8244
_cell_length_b 4.8244
_cell_length_c 4.8244
_cell_angle_alpha 90.00
_cell_angle_beta 90.00
_cell_angle_gamma 90.00
loop_
_atom_site_label
_atom_site_type_symbol
_atom_site_fract_x
_atom_site_fract_y
_atom_site_fract_z
Ge1 Ge 0.0000 0.0000 0.0000
B1 B 0.5000 0.5000 0.5000
Te1 Te 0.0000 0.5000 0.5000
```

(3)
Here is a PBEsol-optimized structure of Ti6Ge2B from Alexandria via LeMat-Bulk. Energies are from SCAN.

Output
density	5.6	Mg/m³
raw total energy	-147.9	eV per cell

Structure (CIF):
```
data_Ti6Ge2B
_chemical_formula_sum 'Ti6 Ge2 B1'
_space_group_name_H-M_alt 'P -6 2 m'
_space_group_IT_number 189
_space_group_name_Hall 'P -6 -2'
_cell_length_a 6.7658
_cell_length_b 6.7658
_cell_length_c 3.3232
_cell_angle_alpha 90.00
_cell_angle_beta 90.00
_cell_angle_gamma 120.00
loop_
_atom_site_label
_atom_site_type_symbol
_atom_site_fract_x
_atom_site_fract_y
_atom_site_fract_z
Ti1 Ti 0.0000 0.3935 0.0000
Ti2 Ti 0.0000 0.7645 0.5000
Ge1 Ge 0.3333 0.6667 0.5000
B1 B 0.0000 0.0000 0.0000
```

(4)
Here is a PBEsol-optimized structure of ZnGe2B from Alexandria via LeMat-Bulk. Energies are from SCAN.

Output
density	6.3	Mg/m³
raw total energy	-220.5	eV per cell

Structure (CIF):
```
data_ZnGe2B
_chemical_formula_sum 'Zn4 Ge8 B4'
_space_group_name_H-M_alt 'F m -3 m'
_space_group_IT_number 225
_space_group_name_Hall '-F 4 2 3'
_cell_length_a 6.1564
_cell_length_b 6.1564
_cell_length_c 6.1564
_cell_angle_alpha 90.00
_cell_angle_beta 90.00
_cell_angle_gamma 90.00
loop_
_atom_site_label
_atom_site_type_symbol
_atom_site_fract_x
_atom_site_fract_y
_atom_site_fract_z
Zn1 Zn 0.0000 0.0000 0.0000
Ge1 Ge 0.2500 0.2500 0.2500
B1 B 0.0000 0.0000 0.5000
```

(5)
Here is a PBEsol-optimized structure of ZnGeB2 from Alexandria via LeMat-Bulk. Energies are from SCAN.

Output
density	5.8	Mg/m³
raw total energy	-167.0	eV per cell

Structure (CIF):
```
data_ZnGeB2
_chemical_formula_sum 'Zn4 Ge4 B8'
_space_group_name_H-M_alt 'F m -3 m'
_space_group_IT_number 225
_space_group_name_Hall '-F 4 2 3'
_cell_length_a 5.6766
_cell_length_b 5.6766
_cell_length_c 5.6766
_cell_angle_alpha 90.00
_cell_angle_beta 90.00
_cell_angle_gamma 90.00
loop_
_atom_site_label
_atom_site_type_symbol
_atom_site_fract_x
_atom_site_fract_y
_atom_site_fract_z
Zn1 Zn 0.0000 0.0000 0.0000
Ge1 Ge 0.0000 0.0000 0.5000
B1 B 0.2500 0.2500 0.2500
```

(6)
Here is a PBEsol-optimized structure of B2H3 from Alexandria via LeMat-Bulk. Energies are from SCAN.

Output
density	1.0	Mg/m³
raw total energy	-818.1	eV per cell

Structure (CIF):
```
data_B2H3
_chemical_formula_sum 'B64 H96'
_space_group_name_H-M_alt 'P b c a'
_space_group_IT_number 61
_cell_length_a 10.0053
_cell_length_b 10.0599
_cell_length_c 13.1921
_cell_angle_alpha 90.00
_cell_angle_beta 90.00
_cell_angle_gamma 90.00
loop_
_space_group_symop_operation_xyz
'x,y,z'
'-x,-y,-z'
'-x+1/2,-y,z+1/2'
'x+1/2,y,-z+1/2'
'x+1/2,-y+1/2,-z'
'-x+1/2,y+1/2,z'
'-x,y+1/2,-z+1/2'
'x,-y+1/2,z+1/2'
loop_
_atom_site_label
_atom_site_type_symbol
_atom_site_fract_x
_atom_site_fract_y
_atom_site_fract_z
B1 B 0.0231 0.1851 0.0649
B2 B 0.0605 0.1518 0.5917
B3 B 0.0718 0.5859 0.8340
B4 B 0.1001 0.6958 0.9395
B5 B 0.1169 0.6699 0.7180
B6 B 0.1338 0.6477 0.3791
B7 B 0.1540 0.6740 0.2445
B8 B 0.2024 0.7049 0.8268
H1 H 0.0151 0.6084 0.3500
H2 H 0.0417 0.7213 0.2018
H3 H 0.0484 0.1184 0.6959
H4 H 0.0757 0.1172 0.0021
H5 H 0.0847 0.0324 0.3385
H6 H 0.1233 0.2360 0.1211
H7 H 0.1243 0.6086 0.6404
H8 H 0.1436 0.0856 0.5507
H9 H 0.1517 0.6614 0.0171
H10 H 0.1824 0.1748 0.8401
H11 H 0.1941 0.5589 0.4185
H12 H 0.1979 0.5867 0.1927
```

(7)
Here is a PBEsol-optimized structure of B5H11 from Alexandria via LeMat-Bulk. Energies are from SCAN.

Output
density	0.8	Mg/m³
raw total energy	-304.3	eV per cell

Structure (CIF):
```
data_B5H11
_chemical_formula_sum 'B20 H44'
_space_group_name_H-M_alt 'P 1 21/c 1'
_space_group_IT_number 14
_cell_length_a 6.6576
_cell_length_b 8.0205
_cell_length_c 11.4659
_cell_angle_alpha 90.00
_cell_angle_beta 122.17
_cell_angle_gamma 90.00
loop_
_space_group_symop_operation_xyz
'x,y,z'
'-x,-y,-z'
'-x,y+1/2,-z+1/2'
'x,-y+1/2,z+1/2'
loop_
_atom_site_label
_atom_site_type_symbol
_atom_site_fract_x
_atom_site_fract_y
_atom_site_fract_z
B1 B 0.0114 0.2130 0.3846
B2 B 0.1731 0.6622 0.2950
B3 B 0.2055 0.5421 0.1807
B4 B 0.4563 0.6067 0.3303
B5 B 0.4781 0.6042 0.1867
H1 H 0.0139 0.6661 0.5605
H2 H 0.0648 0.6997 0.7349
H3 H 0.1068 0.6115 0.3671
H4 H 0.1300 0.6318 0.0730
H5 H 0.1380 0.0997 0.6609
H6 H 0.2119 0.1672 0.4303
H7 H 0.3810 0.7386 0.3727
H8 H 0.3818 0.5010 0.7997
H9 H 0.4086 0.1980 0.1961
H10 H 0.4294 0.0155 0.0741
H11 H 0.4365 0.7146 0.1055
```

> Look up the raw total energy of the third one.

-147.9 eV per cell

> Which of these has the highest raw total energy?

GeBTe3

> The highest density belongs to which entry?

TaGeB2

> Among the records above, which one has the highest raw total energy?

GeBTe3